This record from Alexandria via LeMat-Bulk describes an optimized crystal structure of Tb2PmScS4. The functional is PBE-GGA.

Cell: 3.8695 6.8262 6.7428 Å, 109.05 90.00 90.00°
Last column: nearest neighbours and their distance in Å.
Fractional coordinates of all 8 atoms:
S  0.0000  0.7624  0.2505  1 Sc 2.70, 3 Tb 2.72-2.83, 2 Pm 2.80
S  0.5000  0.2352  0.2413  2 Sc 2.69, 3 Tb 2.73-2.83, 1 Pm 2.80
Tb  0.5000  0.0000  0.5000  6 S 2.72-2.73
Sc  0.0000  0.0000  0.0000  6 S 2.69-2.70
Tb  0.0000  0.5000  0.5000  6 S 2.83
Pm  0.5000  0.5000  0.0000  6 S 2.80
S  0.0000  0.2376  0.7495  1 Sc 2.70, 3 Tb 2.72-2.83, 2 Pm 2.80
S  0.5000  0.7648  0.7587  2 Sc 2.69, 3 Tb 2.73-2.83, 1 Pm 2.80

E_form (uncorrected)   -1.950 eV/atom
Uncorrected energy   -52.46 eV/cell
SG   P2/m